1.
Gd2PaAg | PBE | relaxed

a b c (Å): 3.3578 5.5400 5.5400
angles (deg): 90.00 90.00 90.00
Last column: nearest neighbours and their distance in Å.
Positions (direct):
Gd  0.0000  0.0000  0.5000  4 Pa 3.24, 4 Ag 3.24, 2 Gd 3.36
Gd  0.0000  0.5000  0.0000  4 Pa 3.24, 4 Ag 3.24, 2 Gd 3.36
Pa  0.5000  0.0000  0.0000  8 Gd 3.24, 2 Pa 3.36
Ag  0.5000  0.5000  0.5000  8 Gd 3.24, 2 Ag 3.36

Output
ΔH_f (0 K): 115 meV/atom
Polymorph energy (0 for the lowest one): 0.143 eV per atom

=====

2.
Pm2Mg5Pt4 | PBE | relaxed

a b c (Å): 5.7218 6.4720 7.8255
angles (deg): 80.70 68.56 63.77
Last column: nearest neighbours and their distance in Å.
Positions (direct):
Mg  0.5000  0.0000  0.0000  4 Pt 2.52
Mg  0.5000  0.5000  0.0000  2 Mg 2.86, 4 Pt 2.92
Mg  0.2500  0.5000  0.5000  4 Pt 2.59, 2 Mg 2.86
Mg  0.7500  0.5000  0.5000  4 Pt 2.59, 2 Mg 2.86
Mg  0.0000  0.5000  0.0000  2 Mg 2.86, 4 Pt 2.92
Pt  0.2348  0.2463  0.2842  3 Mg 2.52-2.59
Pt  0.5190  0.2463  0.7158  3 Mg 2.52-2.59
Pt  0.7652  0.7537  0.7158  3 Mg 2.52-2.59
Pt  0.4810  0.7537  0.2842  3 Mg 2.52-2.59
Pm  0.8377  0.0000  0.3246  6 Pt 3.19-3.21, 4 Mg 3.48
Pm  0.1623  0.0000  0.6754  6 Pt 3.19-3.21, 4 Mg 3.48

Output
ΔH_f (0 K): -699 meV/atom

=====

3.
KNaLaCd2 | PBE | relaxed

a b c (Å): 5.8452 5.1306 5.8452
angles (deg): 90.00 90.00 90.00
Last column: nearest neighbours and their distance in Å.
Positions (direct):
Cd  0.0000  0.0000  0.5000  2 K 2.92
Cd  0.5000  0.0000  0.0000  2 K 2.92
K  0.0000  0.0000  0.0000  2 Na 2.57
Na  0.0000  0.5000  0.0000  2 K 2.57
La  0.5000  0.5000  0.5000  8 Cd 3.89, 4 Na 4.13

Output
ΔH_f (0 K): 502 meV/atom

=====

4.
Sm6HoEr12 | PBE | relaxed

a b c (Å): 8.5984 8.5984 8.5984
angles (deg): 79.65 79.65 79.65
Last column: nearest neighbours and their distance in Å.
Positions (direct):
Er  0.8634  0.8634  0.5136  5 Er 3.43-3.76, 5 Sm 3.54-3.63
Er  0.1366  0.4864  0.1366  5 Er 3.43-3.76, 5 Sm 3.54-3.63
Er  0.8634  0.5136  0.8634  5 Er 3.43-3.76, 5 Sm 3.54-3.63
Er  0.4864  0.1366  0.1366  5 Er 3.43-3.76, 5 Sm 3.54-3.63
Er  0.1366  0.1366  0.4864  5 Er 3.43-3.76, 5 Sm 3.54-3.63
Er  0.5140  0.5139  0.1956  3 Sm 3.30-3.37, 5 Er 3.43-3.51
Er  0.5136  0.8634  0.8634  5 Er 3.43-3.76, 5 Sm 3.54-3.63
Er  0.4861  0.8044  0.4860  3 Sm 3.30-3.37, 5 Er 3.43-3.51
Er  0.8044  0.4860  0.4861  3 Sm 3.30-3.37, 5 Er 3.43-3.51
Er  0.5139  0.1956  0.5140  3 Sm 3.30-3.37, 5 Er 3.43-3.51
Er  0.1956  0.5140  0.5139  3 Sm 3.30-3.37, 5 Er 3.43-3.51
Er  0.4860  0.4861  0.8044  3 Sm 3.30-3.37, 5 Er 3.43-3.51
Sm  0.8376  0.2320  0.2322  1 Ho 3.06, 3 Er 3.30-3.37
Sm  0.1624  0.7680  0.7678  1 Ho 3.06, 3 Er 3.30-3.37
Sm  0.2320  0.2322  0.8376  1 Ho 3.06, 3 Er 3.30-3.37
Sm  0.7680  0.7678  0.1624  1 Ho 3.06, 3 Er 3.30-3.37
Sm  0.2322  0.8376  0.2320  1 Ho 3.06, 3 Er 3.30-3.37
Sm  0.7678  0.1624  0.7680  1 Ho 3.06, 3 Er 3.30-3.37
Ho  0.0000  0.0000  0.0000  6 Sm 3.06

Output
ΔH_f (0 K): 124 meV/atom
Polymorph energy (0 for the lowest one): 0.000 eV per atom

=====

5.
TiZn3Pt | PBE | relaxed

a b c (Å): 4.5179 5.4769 6.5973
angles (deg): 90.00 69.94 90.00
Last column: nearest neighbours and their distance in Å.
Positions (direct):
Zn  0.1898  0.5063  0.1209  5 Zn 2.57-2.81, 3 Pt 2.67-2.78
Zn  0.8102  0.0063  0.8791  5 Zn 2.57-2.81, 3 Pt 2.67-2.78
Zn  0.8102  0.4937  0.8791  5 Zn 2.57-2.81, 3 Pt 2.67-2.78
Zn  0.1898  0.9937  0.1209  5 Zn 2.57-2.81, 3 Pt 2.67-2.78
Zn  0.0157  0.2500  0.4679  4 Zn 2.57-2.77, 2 Ti 2.61, 2 Pt 2.62-2.63
Zn  0.9843  0.7500  0.5321  4 Zn 2.57-2.77, 2 Ti 2.61, 2 Pt 2.62-2.63
Pt  0.6241  0.2500  0.2521  8 Zn 2.62-2.78, 3 Ti 2.64-2.77
Pt  0.3759  0.7500  0.7479  8 Zn 2.62-2.78, 3 Ti 2.64-2.77
Ti  0.4106  0.2500  0.6777  6 Zn 2.61-2.91, 3 Pt 2.64-2.77
Ti  0.5894  0.7500  0.3223  6 Zn 2.61-2.91, 3 Pt 2.64-2.77

Output
ΔH_f (0 K): -349 meV/atom
Polymorph energy (0 for the lowest one): 0.000 eV per atom

=====

6.
Pm8GeP5 | PBE | relaxed

a b c (Å): 7.6259 7.6259 7.6259
angles (deg): 109.38 109.65 109.38
Last column: nearest neighbours and their distance in Å.
Positions (direct):
Pm  0.9901  0.1152  0.7486  4 P 2.87-3.21, 1 Ge 2.94
Pm  0.6271  0.3796  0.8753  3 P 2.87-2.88
Pm  0.1252  0.7585  0.0099  4 P 2.87-3.21, 1 Ge 2.94
Pm  0.1247  0.7518  0.5043  3 P 2.87-2.88
Pm  0.7525  0.2482  0.3729  3 P 2.87-2.88
Pm  0.4957  0.6204  0.2475  3 P 2.87-2.88
Pm  0.2514  0.2415  0.3667  4 P 2.87-3.21, 1 Ge 2.94
Pm  0.6333  0.8848  0.8748  4 P 2.87-3.21, 1 Ge 2.94
Ge  0.2500  0.5000  0.7500  8 Pm 2.94-3.24
P  0.5000  0.0000  0.5000  8 Pm 2.88-3.21
P  0.3763  0.1256  0.9974  4 Pm 2.87-2.88
P  0.8719  0.8744  0.2507  4 Pm 2.87-2.88
P  0.0026  0.3788  0.1281  4 Pm 2.87-2.88
P  0.7493  0.6212  0.6237  4 Pm 2.87-2.88

Output
ΔH_f (0 K): -1225 meV/atom

=====

7.
Hf2Ti2Hg | PBE | relaxed

a b c (Å): 7.1892 7.1892 3.8964
angles (deg): 90.00 90.00 90.00
Last column: nearest neighbours and their distance in Å.
Positions (direct):
Hf  0.1605  0.6605  0.5000  6 Ti 2.87
Hf  0.6605  0.8395  0.5000  6 Ti 2.87
Hf  0.8395  0.3395  0.5000  6 Ti 2.87
Hf  0.3395  0.1605  0.5000  6 Ti 2.87
Ti  0.8681  0.6319  0.0000  1 Ti 2.68, 2 Hg 2.81, 6 Hf 2.87
Ti  0.3681  0.8681  0.0000  1 Ti 2.68, 2 Hg 2.81, 6 Hf 2.87
Ti  0.1319  0.3681  0.0000  1 Ti 2.68, 2 Hg 2.81, 6 Hf 2.87
Ti  0.6319  0.1319  0.0000  1 Ti 2.68, 2 Hg 2.81, 6 Hf 2.87
Hg  0.0000  0.0000  0.0000  4 Ti 2.81
Hg  0.5000  0.5000  0.0000  4 Ti 2.81

Output
ΔH_f (0 K): 66 meV/atom
Polymorph energy (0 for the lowest one): 0.096 eV per atom

=====

8.
Re2AgIr | PBE | relaxed

a b c (Å): 9.4400 9.4400 9.4400
angles (deg): 16.91 16.91 16.91
Last column: nearest neighbours and their distance in Å.
Positions (direct):
Ir  0.7447  0.7447  0.7447  3 Re 2.70, 6 Ir 2.78, 3 Ag 2.94
Re  0.2557  0.2557  0.2557  9 Re 2.70-2.78, 3 Ag 2.97
Re  0.0002  0.0002  0.0002  3 Ir 2.70, 9 Re 2.70-2.78
Ag  0.4995  0.4995  0.4995  6 Ag 2.78, 3 Ir 2.94, 3 Re 2.97

Output
ΔH_f (0 K): 183 meV/atom
Polymorph energy (0 for the lowest one): 0.000 eV per atom

=====

9.
MgZn2Mo | PBE | relaxed

a b c (Å): 2.7466 2.7466 8.4525
angles (deg): 90.00 90.00 89.90
Last column: nearest neighbours and their distance in Å.
Positions (direct):
Mo  0.5000  0.5000  0.7500  4 Mo 2.75, 8 Zn 2.81
Mg  0.5000  0.5000  0.2500  4 Mg 2.75, 8 Zn 2.93
Zn  0.0000  0.0000  0.5094  4 Zn 2.75, 4 Mo 2.81, 4 Mg 2.93
Zn  0.0000  0.0000  0.9906  4 Zn 2.75, 4 Mo 2.81, 4 Mg 2.93

Output
ΔH_f (0 K): 75 meV/atom

=====

10.
CaCdCo | PBE | relaxed

a b c (Å): 4.5121 4.5121 3.8056
angles (deg): 90.00 90.00 120.00
Last column: nearest neighbours and their distance in Å.
Positions (direct):
Co  0.3333  0.6667  0.5003  3 Cd 2.61
Ca  0.0000  0.0000  0.0000  6 Co 3.23, 6 Cd 3.23
Cd  0.6667  0.3333  0.4998  3 Co 2.61

Output
ΔH_f (0 K): 189 meV/atom

=====

11.
FeTcIr | PBE | relaxed

a b c (Å): 4.2299 4.2299 2.6528
angles (deg): 90.00 90.00 120.00
Last column: nearest neighbours and their distance in Å.
Positions (direct):
Fe  0.0000  0.0000  0.1664  3 Ir 2.44, 2 Fe 2.65
Ir  0.6667  0.3333  0.1668  3 Fe 2.44, 2 Ir 2.65
Tc  0.3333  0.6667  0.6668  2 Tc 2.65, 6 Fe 2.78, 6 Ir 2.78

Output
ΔH_f (0 K): -12 meV/atom
Polymorph energy (0 for the lowest one): 0.058 eV per atom

=====

12.
Sr3Pa2TiN6 | PBE | relaxed

a b c (Å): 6.0437 6.0437 6.2716
angles (deg): 99.18 99.18 120.00
Last column: nearest neighbours and their distance in Å.
Positions (direct):
N  0.2619  0.2619  0.8055  1 Ti 2.29, 2 Pa 2.34
N  0.9354  0.6094  0.8059  1 Ti 2.28, 2 Pa 2.34
N  0.6094  0.9354  0.8059  1 Ti 2.28, 2 Pa 2.34
N  0.0646  0.3906  0.1941  1 Ti 2.28, 2 Pa 2.34
N  0.7381  0.7381  0.1945  1 Ti 2.29, 2 Pa 2.34
N  0.3906  0.0646  0.1941  1 Ti 2.28, 2 Pa 2.34
Pa  0.3330  0.6670  0.0000  6 N 2.34
Pa  0.6670  0.3330  0.0000  6 N 2.34
Ti  0.0000  0.0000  0.0000  6 N 2.28-2.29
Sr  0.1615  0.8385  0.5000  6 N 2.66-2.78
Sr  0.5000  0.5000  0.5000  6 N 2.70-2.74
Sr  0.8385  0.1615  0.5000  6 N 2.66-2.78

Output
E_form (uncorrected): -1.273 eV/atom